Entry a
First-principles (PBE-GGA) data for Sr2LiGa2 after structural relaxation, as listed in Alexandria.

## Properties
SG: No. 15
M_tot (Bohr magnetons per cell): 0.0

abc: 6.1677 6.1677 8.9457
angles: 101.05 101.05 61.02
Fractional positions:
Sr 0.0035 0.7017 0.8532
Sr 0.2983 0.9965 0.6468
Sr 0.7017 0.0035 0.3532
Sr 0.9965 0.2983 0.1468
Li 0.3868 0.6132 0.2500
Li 0.6132 0.3868 0.7500
Ga 0.2118 0.5065 0.4967
Ga 0.4935 0.7882 0.0033
Ga 0.5065 0.2118 0.9967
Ga 0.7882 0.4935 0.5033

=====

Entry b
First-principles (PBE-GGA) data for Sr2LiGa2 after structural relaxation, as listed in Alexandria.

## Properties
SG: No. 127
M_tot (Bohr magnetons per cell): 0.0

abc: 9.0641 9.0641 3.7463
angles: 90.00 90.00 90.00
Fractional positions:
Sr 0.1829 0.3171 0.0000
Sr 0.3171 0.8171 0.0000
Sr 0.6829 0.1829 0.0000
Sr 0.8171 0.6829 0.0000
Li 0.0000 0.0000 0.0000
Li 0.5000 0.5000 0.0000
Ga 0.1079 0.6079 0.5000
Ga 0.3921 0.1079 0.5000
Ga 0.6079 0.8921 0.5000
Ga 0.8921 0.3921 0.5000

=====

Entry c
First-principles (PBE-GGA) data for Sr2LiGa2 after structural relaxation, as listed in Alexandria.

## Properties
SG: No. 127
M_tot (Bohr magnetons per cell): 0.0

abc: 8.4032 8.4032 4.3197
angles: 90.00 90.00 90.00
Fractional positions:
Sr 0.1778 0.3222 0.0000
Sr 0.3222 0.8222 0.0000
Sr 0.6778 0.1778 0.0000
Sr 0.8222 0.6778 0.0000
Li 0.0000 0.0000 0.5000
Li 0.5000 0.5000 0.5000
Ga 0.1152 0.6152 0.5000
Ga 0.3848 0.1152 0.5000
Ga 0.6152 0.8848 0.5000
Ga 0.8848 0.3848 0.5000

=====

entry a has the most favorable energy; the next structure is 0.029 eV/atom above.

=====

Entry a
First-principles (PBE-GGA) data for Sr2LiGa2 after structural relaxation, as listed in Alexandria.

## Properties
SG: No. 139
M_tot (Bohr magnetons per cell): 0.0

abc: 10.7959 10.7959 10.7959
angles: 159.02 159.02 29.84
Fractional positions:
Sr 0.1153 0.1153 0.0000
Sr 0.8847 0.8847 0.0000
Li 0.5000 0.5000 0.0000
Ga 0.2500 0.7500 0.5000
Ga 0.7500 0.2500 0.5000

=====

Entry b
First-principles (PBE-GGA) data for Sr2LiGa2 after structural relaxation, as listed in Alexandria.

## Properties
SG: No. 139
M_tot (Bohr magnetons per cell): 0.0

abc: 5.9912 5.9912 5.9912
angles: 116.74 116.74 95.74
Fractional positions:
Sr 0.2500 0.7500 0.5000
Sr 0.7500 0.2500 0.5000
Li 0.0000 0.0000 0.0000
Ga 0.3485 0.3485 0.0000
Ga 0.6515 0.6515 0.0000

=====

entry b has the most favorable energy; the next structure is 0.126 eV/atom above.

=====

Entry a
First-principles (PBE-GGA) data for SrLi3Ga after structural relaxation, as listed in Alexandria.

## Properties
SG: No. 221
M_tot (Bohr magnetons per cell): 0.0

abc: 5.8965 5.8965 5.8965
angles: 90.00 90.00 90.00
Fractional positions:
Sr 0.0000 0.0000 0.0000
Li 0.0000 0.0000 0.5000
Li 0.0000 0.5000 0.0000
Li 0.5000 0.0000 0.0000
Ga 0.5000 0.5000 0.5000

=====

Entry b
First-principles (PBE-GGA) data for SrLi3Ga after structural relaxation, as listed in Alexandria.

## Properties
SG: No. 221
M_tot (Bohr magnetons per cell): 0.0

abc: 5.0097 5.0097 5.0097
angles: 90.00 90.00 90.00
Fractional positions:
Sr 0.0000 0.0000 0.0000
Li 0.0000 0.5000 0.5000
Li 0.5000 0.0000 0.5000
Li 0.5000 0.5000 0.0000
Ga 0.5000 0.5000 0.5000

=====

Entry c
First-principles (PBE-GGA) data for SrLi3Ga after structural relaxation, as listed in Alexandria.

## Properties
SG: No. 11
M_tot (Bohr magnetons per cell): 0.0

abc: 6.9344 4.9225 7.3869
angles: 90.00 104.65 90.00
Fractional positions:
Sr 0.1710 0.2500 0.2292
Sr 0.8290 0.7500 0.7708
Li 0.1227 0.2500 0.6853
Li 0.3769 0.7500 0.9283
Li 0.4876 0.2500 0.6487
Li 0.5124 0.7500 0.3513
Li 0.6231 0.2500 0.0717
Li 0.8773 0.7500 0.3147
Ga 0.2486 0.7500 0.5610
Ga 0.7514 0.2500 0.4390

=====

entry c has the most favorable energy; the next structure is 0.035 eV/atom above.

=====

Entry a
First-principles (PBE-GGA) data for SrLiGa3 after structural relaxation, as listed in Alexandria.

## Properties
SG: No. 221
M_tot (Bohr magnetons per cell): 0.0

abc: 4.8180 4.8180 4.8180
angles: 90.00 90.00 90.00
Fractional positions:
Sr 0.0000 0.0000 0.0000
Li 0.5000 0.5000 0.5000
Ga 0.0000 0.5000 0.5000
Ga 0.5000 0.0000 0.5000
Ga 0.5000 0.5000 0.0000

=====

Entry b
First-principles (PBE-GGA) data for SrLiGa3 after structural relaxation, as listed in Alexandria.

## Properties
SG: No. 221
M_tot (Bohr magnetons per cell): 0.0

abc: 5.8508 5.8508 5.8508
angles: 90.00 90.00 90.00
Fractional positions:
Sr 0.0000 0.0000 0.0000
Li 0.5000 0.5000 0.5000
Ga 0.0000 0.0000 0.5000
Ga 0.0000 0.5000 0.0000
Ga 0.5000 0.0000 0.0000

=====

Entry c
First-principles (PBE-GGA) data for SrLiGa3 after structural relaxation, as listed in Alexandria.

## Properties
SG: No. 63
M_tot (Bohr magnetons per cell): 0.0

abc: 12.9704 12.9704 4.4233
angles: 90.00 90.00 161.71
Fractional positions:
Sr 0.0792 0.9208 0.7500
Sr 0.9208 0.0792 0.2500
Li 0.2096 0.7904 0.2500
Li 0.7904 0.2096 0.7500
Ga 0.3152 0.6848 0.2500
Ga 0.3689 0.6311 0.7500
Ga 0.4739 0.5261 0.7500
Ga 0.5261 0.4739 0.2500
Ga 0.6311 0.3689 0.2500
Ga 0.6848 0.3152 0.7500

=====

Entry d
First-principles (PBE-GGA) data for SrLiGa3 after structural relaxation, as listed in Alexandria.

## Properties
SG: No. 62
M_tot (Bohr magnetons per cell): 0.0

abc: 6.1906 11.3865 6.2070
angles: 90.00 90.00 90.00
Fractional positions:
Sr 0.0000 0.0000 0.0000
Sr 0.0000 0.5000 0.0000
Sr 0.5000 0.0000 0.5000
Sr 0.5000 0.5000 0.5000
Li 0.2500 0.2500 0.2499
Li 0.2500 0.7500 0.7499
Li 0.7500 0.2500 0.2501
Li 0.7500 0.7500 0.7501
Ga 0.0001 0.1181 0.4907
Ga 0.0001 0.3819 0.4907
Ga 0.9999 0.6181 0.5093
Ga 0.9999 0.8819 0.5093
Ga 0.2493 0.2500 0.7506
Ga 0.2507 0.7500 0.2506
Ga 0.5001 0.1181 0.0093
Ga 0.5001 0.3819 0.0093
Ga 0.4999 0.6181 0.9907
Ga 0.4999 0.8819 0.9907
Ga 0.7493 0.2500 0.7494
Ga 0.7507 0.7500 0.2494

=====

entry d has the most favorable energy; the next structure is 0.056 eV/atom above.

=====

Entry a
First-principles (PBE-GGA) data for SrLiGa2 after structural relaxation, as listed in Alexandria.

## Properties
SG: No. 166
M_tot (Bohr magnetons per cell): 0.0

abc: 6.2209 6.2209 6.2209
angles: 41.74 41.74 41.74
Fractional positions:
Sr 0.0000 0.0000 0.0000
Li 0.5000 0.5000 0.5000
Ga 0.2002 0.2002 0.2002
Ga 0.7998 0.7998 0.7998

=====

Entry b
First-principles (PBE-GGA) data for SrLiGa2 after structural relaxation, as listed in Alexandria.

## Properties
SG: No. 123
M_tot (Bohr magnetons per cell): 0.0

abc: 3.5076 3.5076 7.2363
angles: 90.00 90.00 90.00
Fractional positions:
Sr 0.0000 0.0000 0.0000
Li 0.0000 0.0000 0.5000
Ga 0.5000 0.5000 0.3160
Ga 0.5000 0.5000 0.6840

=====

Entry c
First-principles (PBE-GGA) data for SrLiGa2 after structural relaxation, as listed in Alexandria.

## Properties
SG: No. 225
M_tot (Bohr magnetons per cell): 0.0

abc: 5.0894 5.0894 5.0894
angles: 60.00 60.00 60.00
Fractional positions:
Sr 0.0000 0.0000 0.0000
Li 0.5000 0.5000 0.5000
Ga 0.2500 0.2500 0.2500
Ga 0.7500 0.7500 0.7500

=====

Entry d
First-principles (PBE-GGA) data for SrLiGa2 after structural relaxation, as listed in Alexandria.

## Properties
SG: No. 62
M_tot (Bohr magnetons per cell): 0.0

abc: 7.4284 4.4012 11.3013
angles: 90.00 90.00 90.00
Fractional positions:
Sr 0.2308 0.2500 0.1801
Sr 0.2692 0.7500 0.6801
Sr 0.7308 0.2500 0.3199
Sr 0.7692 0.7500 0.8199
Li 0.0600 0.7500 0.4091
Li 0.4400 0.2500 0.9091
Li 0.5600 0.7500 0.0909
Li 0.9400 0.2500 0.5909
Ga 0.0694 0.2500 0.8751
Ga 0.2143 0.7500 0.9678
Ga 0.2857 0.2500 0.4678
Ga 0.4306 0.7500 0.3751
Ga 0.5694 0.2500 0.6249
Ga 0.7143 0.7500 0.5322
Ga 0.7857 0.2500 0.0322
Ga 0.9306 0.7500 0.1249

=====

entry d has the most favorable energy; the next structure is 0.018 eV/atom above.

=====

Entry a
First-principles (PBE-GGA) data for SrLi4Ga after structural relaxation, as listed in Alexandria.

## Properties
SG: No. 51
M_tot (Bohr magnetons per cell): 0.0

abc: 7.4495 4.7819 8.0616
angles: 90.00 90.00 90.00
Fractional positions:
Sr 0.2500 0.0000 0.1255
Sr 0.7500 0.0000 0.8745
Li 0.0000 0.0000 0.5000
Li 0.0718 0.5000 0.7934
Li 0.2500 0.5000 0.4917
Li 0.4282 0.5000 0.7934
Li 0.5000 0.0000 0.5000
Li 0.5718 0.5000 0.2066
Li 0.7500 0.5000 0.5083
Li 0.9282 0.5000 0.2066
Ga 0.2500 0.0000 0.7284
Ga 0.7500 0.0000 0.2716

=====

Entry b
First-principles (PBE-GGA) data for SrLi4Ga after structural relaxation, as listed in Alexandria.

## Properties
SG: No. 15
M_tot (Bohr magnetons per cell): 0.0

abc: 8.0451 8.0451 4.9909
angles: 100.45 100.45 61.28
Fractional positions:
Sr 0.2030 0.7970 0.7500
Sr 0.7970 0.2030 0.2500
Li 0.1078 0.2887 0.9293
Li 0.2887 0.1078 0.4293
Li 0.3022 0.4524 0.2162
Li 0.4524 0.3022 0.7162
Li 0.5476 0.6978 0.2838
Li 0.6978 0.5476 0.7838
Li 0.7113 0.8922 0.5707
Li 0.8922 0.7113 0.0707
Ga 0.0000 0.5000 0.5000
Ga 0.5000 0.0000 0.0000

=====

Entry c
First-principles (PBE-GGA) data for SrLi4Ga after structural relaxation, as listed in Alexandria.

## Properties
SG: No. 216
M_tot (Bohr magnetons per cell): 0.3

abc: 5.6601 5.6601 5.6601
angles: 60.00 60.00 60.00
Fractional positions:
Sr 0.0000 0.0000 0.0000
Li 0.3781 0.3781 0.3781
Li 0.3781 0.3781 0.8658
Li 0.3781 0.8658 0.3781
Li 0.8658 0.3781 0.3781
Ga 0.7500 0.7500 0.7500

=====

entry a has the most favorable energy; the next structure is 0.006 eV/atom above.